# NaCd2FeAg | the Alexandria database | GGA-PBE | relaxed
data_NaCd2FeAg
_cell_length_a 5.097
_cell_length_b 5.097
_cell_length_c 5.004
_cell_angle_alpha 90.00
_cell_angle_beta 90.00
_cell_angle_gamma 90.00
_space_group_name_H-M_alt 'P 4/m m m'
_space_group_IT_number 123
_space_group_name_Hall '-P 4 2'
loop_
_atom_site_label
_atom_site_type_symbol
_atom_site_fract_x
_atom_site_fract_y
_atom_site_fract_z
_atom_site_occupancy
Na1 Na 0.000 0.000 0.000 1
Cd1 Cd 0.000 0.500 0.500 1
Fe1 Fe 0.500 0.500 0.500 1
Ag1 Ag 0.500 0.500 0.000 1
# calculated formation energy: 0.43 eV/atom

---

# Ta2CrCd2S6 | the Alexandria database | GGA-PBE | relaxed
data_Ta2CrCd2S6
_cell_length_a 5.795
_cell_length_b 10.116
_cell_length_c 9.042
_cell_angle_alpha 90.00
_cell_angle_beta 101.95
_cell_angle_gamma 90.00
_space_group_name_H-M_alt 'C 1 2/m 1'
_space_group_IT_number 12
loop_
_space_group_symop_operation_xyz
'x,y,z'
'-x,-y,-z'
'-x,y,-z'
'x,-y,z'
'x+1/2,y+1/2,z'
'-x+1/2,-y+1/2,-z'
'-x+1/2,y+1/2,-z'
'x+1/2,-y+1/2,z'
loop_
_atom_site_label
_atom_site_type_symbol
_atom_site_fract_x
_atom_site_fract_y
_atom_site_fract_z
_atom_site_occupancy
Ta1 Ta 0.000 0.165 0.000 1
Cr1 Cr 0.000 0.500 0.000 1
Cd1 Cd 0.000 0.251 0.500 1
S1 S 0.106 0.338 0.832 1
S2 S 0.121 0.000 0.830 1
# energy relative to the elements, uncorrected: -0.71 eV/atom

---

Calculated total energy values (in eV/cell) by entry order: -12.321, -135.414.
Spin magnetization values (in Bohr magnetons per cell) by entry order: 2.3, 3.1.
DOS at the Fermi energy values (in states/eV per cell) by entry order: 4.304, 7.952.